(1)
# PBE-GGA Sc2MnSnC, relaxed
data_Sc2MnSnC
_chemical_formula_sum 'Sc2 Mn1 Sn1 C1'
_cell_length_a 4.448
_cell_length_b 4.448
_cell_length_c 4.714
_cell_angle_alpha 90.00
_cell_angle_beta 90.00
_cell_angle_gamma 90.00
_symmetry_space_group_name_H-M 'P 4/m m m'
_symmetry_Int_Tables_number 123
_symmetry_space_group_name_Hall '-P 4 2'
loop_
_atom_site_label
_atom_site_fract_x
_atom_site_fract_y
_atom_site_fract_z
_atom_site_occupancy
Sc1 0.000 0.500 0.000 1
Mn1 0.000 0.000 0.500 1
Sn1 0.500 0.500 0.500 1
C1 0.500 0.500 0.000 1
# size of the total moment: 0.786 μB per atom
# Fermi-level density of states: 1.16 states/eV/atom
# calculated formation energy: 0.0629 eV/atom
# offset from the most stable computed form: 262 kJ/mol of formula units
# total energy: -34.74 eV/f.u.
# mass density: 4.91 g cm⁻³

(2)
# PBE-GGA ScTa2MnC4, relaxed
data_ScTa2MnC4
_chemical_formula_sum 'Sc4 Ta8 Mn4 C16'
_cell_length_a 3.145
_cell_length_b 10.798
_cell_length_c 10.848
_cell_angle_alpha 90.00
_cell_angle_beta 90.00
_cell_angle_gamma 90.00
_symmetry_space_group_name_H-M 'C m c m'
_symmetry_Int_Tables_number 63
_symmetry_space_group_name_Hall '-C 2c 2'
loop_
_atom_site_label
_atom_site_fract_x
_atom_site_fract_y
_atom_site_fract_z
_atom_site_occupancy
Sc1 0.000 0.113 0.250 1
Ta1 0.000 0.368 0.041 1
Mn1 0.000 0.152 0.750 1
C1 0.000 0.000 0.000 1
C2 0.000 0.264 0.622 1
C3 0.000 0.443 0.250 1
# size of the total moment: 0.000 μB per atom
# Fermi-level density of states: 0.36 states/eV/atom
# calculated formation energy: -0.3289 eV/atom
# total energy: -78.73 eV/f.u.
# mass density: 9.19 g cm⁻³